Entry from Alexandria via LeMat-Bulk: CrAsO2F after structural relaxation (PBE+U).

Unit cell a=3.847 b=3.847 c=3.905 alpha=90.00 beta=90.00 gamma=90.00
Space group P4/mmm (No. 123)
Unique sites:
Cr1 0.000 0.000 0.000 (multiplicity 1)
As1 0.500 0.500 0.500 (multiplicity 1)
O1 0.000 0.500 0.000 (multiplicity 2)
F1 0.000 0.000 0.500 (multiplicity 1)

Results
* Fermi-level density of states: 4.10 states/eV/f.u.
* final energy: -26.81 eV for the cell shown
* total magnetic moment: 0.71 Bohr magnetons per cell



Entry from Alexandria via LeMat-Bulk: CrAsO4F after structural relaxation (PBE+U).

Unit cell a=5.156 b=5.328 c=6.782 alpha=90.00 beta=103.58 gamma=90.00
Space group P2_1/m (No. 11)
Unique sites:
Cr1 0.165 0.250 0.451 (multiplicity 2)
As1 0.405 0.750 0.736 (multiplicity 2)
O1 0.153 0.511 0.665 (multiplicity 4)
O2 0.245 0.250 0.190 (multiplicity 2)
O3 0.473 0.750 0.472 (multiplicity 2)
F1 0.378 0.750 0.990 (multiplicity 2)

Results
* final energy: -85.93 eV for the cell shown
* total magnetic moment: 4.00 Bohr magnetons per cell



Entry from Alexandria via LeMat-Bulk: Cr2AsOsF after structural relaxation (PBE+U).

Unit cell a=4.007 b=4.007 c=4.936 alpha=90.00 beta=90.00 gamma=90.00
Space group P4/mmm (No. 123)
Unique sites:
Cr1 0.000 0.500 0.000 (multiplicity 2)
As1 0.000 0.000 0.500 (multiplicity 1)
Os1 0.500 0.500 0.500 (multiplicity 1)
F1 0.000 0.000 0.000 (multiplicity 1)

Results
* Fermi-level density of states: 4.83 states/eV/f.u.
* final energy: -30.82 eV for the cell shown
* total magnetic moment: 7.90 Bohr magnetons per cell



Entry from Alexandria via LeMat-Bulk: RbCrAsF6 after structural relaxation (PBE+U).

Unit cell a=5.743 b=5.752 c=5.792 alpha=62.71 beta=89.65 gamma=89.27
Space group P1 (No. 1)
Unique sites:
Rb1 0.000 0.000 0.000 (multiplicity 1)
Cr1 0.513 0.328 0.334 (multiplicity 1)
As1 0.506 0.664 0.680 (multiplicity 1)
F1 0.320 0.319 0.055 (multiplicity 1)
F2 0.322 0.674 0.407 (multiplicity 1)
F3 0.336 0.023 0.619 (multiplicity 1)
F4 0.680 0.386 0.626 (multiplicity 1)
F5 0.723 0.578 0.055 (multiplicity 1)
F6 0.725 0.898 0.460 (multiplicity 1)

Results
* Fermi-level density of states: 0.00 states/eV/f.u.
* final energy: -46.13 eV for the cell shown
* total magnetic moment: 4.00 Bohr magnetons per cell



Entry from Alexandria via LeMat-Bulk: CrAsS2F after structural relaxation (PBE+U).

Unit cell a=4.849 b=4.849 c=3.981 alpha=90.00 beta=90.00 gamma=90.00
Space group P4/mmm (No. 123)
Unique sites:
Cr1 0.000 0.000 0.000 (multiplicity 1)
As1 0.500 0.500 0.500 (multiplicity 1)
S1 0.000 0.500 0.500 (multiplicity 2)
F1 0.500 0.500 0.000 (multiplicity 1)

Results
* Fermi-level density of states: 2.18 states/eV/f.u.
* final energy: -24.07 eV for the cell shown
* total magnetic moment: 4.16 Bohr magnetons per cell



Entry from Alexandria via LeMat-Bulk: CrAs2SeF after structural relaxation (PBE+U).

Unit cell a=4.628 b=4.628 c=4.596 alpha=90.00 beta=90.00 gamma=90.00
Space group P4/mmm (No. 123)
Unique sites:
Cr1 0.000 0.000 0.000 (multiplicity 1)
As1 0.000 0.500 0.000 (multiplicity 2)
Se1 0.000 0.000 0.500 (multiplicity 1)
F1 0.500 0.500 0.500 (multiplicity 1)

Results
* Fermi-level density of states: 3.87 states/eV/f.u.
* energy above the lowest structure with this stoichiometry: 0.217 eV/atom
* total magnetic moment: 0.30 Bohr magnetons per cell



Entry from Alexandria via LeMat-Bulk: CrAsSe2F after structural relaxation (PBE+U).

Unit cell a=4.615 b=4.615 c=4.705 alpha=90.00 beta=90.00 gamma=90.00
Space group P4/mmm (No. 123)
Unique sites:
Cr1 0.000 0.000 0.000 (multiplicity 1)
As1 0.000 0.000 0.500 (multiplicity 1)
Se1 0.000 0.500 0.000 (multiplicity 2)
F1 0.500 0.500 0.500 (multiplicity 1)

Results
* Fermi-level density of states: 2.99 states/eV/f.u.
* energy above the lowest structure with this stoichiometry: 0.215 eV/atom
* total magnetic moment: 0.32 Bohr magnetons per cell



Entry from Alexandria via LeMat-Bulk: CrAs2SeF after structural relaxation (PBE+U).

Unit cell a=4.325 b=4.325 c=5.255 alpha=90.00 beta=90.00 gamma=90.00
Space group P4/mmm (No. 123)
Unique sites:
Cr1 0.000 0.000 0.000 (multiplicity 1)
As1 0.000 0.500 0.500 (multiplicity 2)
Se1 0.500 0.500 0.000 (multiplicity 1)
F1 0.500 0.500 0.500 (multiplicity 1)

Results
* Fermi-level density of states: 2.67 states/eV/f.u.
* energy above the lowest structure with this stoichiometry: 0.000 eV/atom
* total magnetic moment: 3.86 Bohr magnetons per cell



Entry from Alexandria via LeMat-Bulk: CrAsSe2F after structural relaxation (PBE+U).

Unit cell a=5.081 b=5.081 c=4.003 alpha=90.00 beta=90.00 gamma=90.00
Space group P4/mmm (No. 123)
Unique sites:
Cr1 0.000 0.000 0.000 (multiplicity 1)
As1 0.500 0.500 0.000 (multiplicity 1)
Se1 0.000 0.500 0.500 (multiplicity 2)
F1 0.500 0.500 0.500 (multiplicity 1)

Results
* Fermi-level density of states: 4.52 states/eV/f.u.
* energy above the lowest structure with this stoichiometry: 0.000 eV/atom
* total magnetic moment: 3.70 Bohr magnetons per cell



Entry from Alexandria via LeMat-Bulk: Ta2CrAsF after structural relaxation (PBE+U).

Unit cell a=4.840 b=4.840 c=3.720 alpha=90.00 beta=90.00 gamma=90.00
Space group P4/mmm (No. 123)
Unique sites:
Ta1 0.000 0.500 0.000 (multiplicity 2)
Cr1 0.000 0.000 0.000 (multiplicity 1)
As1 0.500 0.500 0.500 (multiplicity 1)
F1 0.000 0.000 0.500 (multiplicity 1)

Results
* Fermi-level density of states: 3.85 states/eV/f.u.
* final energy: -34.65 eV for the cell shown
* total magnetic moment: 0.91 Bohr magnetons per cell



Entry from Alexandria via LeMat-Bulk: TlCrAs2F after structural relaxation (PBE+U).

Unit cell a=5.179 b=5.179 c=3.833 alpha=90.00 beta=90.00 gamma=90.00
Space group P4/mmm (No. 123)
Unique sites:
Tl1 0.000 0.000 0.000 (multiplicity 1)
Cr1 0.500 0.500 0.000 (multiplicity 1)
As1 0.000 0.500 0.500 (multiplicity 2)
F1 0.500 0.500 0.500 (multiplicity 1)

Results
* Fermi-level density of states: 6.18 states/eV/f.u.
* final energy: -17.86 eV for the cell shown
* total magnetic moment: 0.20 Bohr magnetons per cell



Entry from Alexandria via LeMat-Bulk: TlCrAsF6 after structural relaxation (PBE+U).

Unit cell a=5.532 b=5.671 c=5.879 alpha=115.13 beta=90.14 gamma=90.20
Space group P1 (No. 1)
Unique sites:
Tl1 0.000 0.000 0.000 (multiplicity 1)
Cr1 0.512 0.338 0.681 (multiplicity 1)
As1 0.499 0.685 0.337 (multiplicity 1)
F1 0.325 0.058 0.715 (multiplicity 1)
F2 0.332 0.619 0.967 (multiplicity 1)
F3 0.333 0.382 0.315 (multiplicity 1)
F4 0.679 0.628 0.598 (multiplicity 1)
F5 0.723 0.051 0.439 (multiplicity 1)
F6 0.739 0.500 0.121 (multiplicity 1)

Results
* Fermi-level density of states: 0.00 states/eV/f.u.
* final energy: -45.37 eV for the cell shown
* total magnetic moment: 4.00 Bohr magnetons per cell